{
  "formula": "MnIr2Rh",
  "functional": "PBE",
  "state": "optimized geometry",
  "spacegroup": "C2/m, No. 12",
  "dft_energy_ev_per_atom": -8.66,
  "cell": [[4.697, -0.012, 0.020], [3.903, 2.614, 0.020], [0.843, 0.255, 4.585]],
  "species": ["Mn", "Ir", "Ir", "Rh"],
  "fractional_positions": [[0.750, 0.750, 0.750], [0.495, 0.495, 0.503], [0.005, 0.005, 0.997], [0.250, 0.250, 0.250]]
}



{
  "formula": "Mn2IrRh9",
  "functional": "PBE",
  "state": "optimized geometry",
  "spacegroup": "P4/mmm, No. 123",
  "dft_energy_ev_per_atom": -7.87,
  "cell": [[3.824, 0.000, 0.000], [0.000, 3.824, 0.000], [0.000, 0.000, 11.498]],
  "species": ["Rh", "Rh", "Rh", "Rh", "Rh", "Rh", "Rh", "Rh", "Rh", "Mn", "Mn", "Ir"],
  "fractional_positions": [[0.500, 0.500, 0.667], [0.000, 0.500, 0.833], [0.500, 0.000, 0.500], [0.500, 0.000, 0.833], [0.500, 0.500, 0.000], [0.000, 0.500, 0.167], [0.000, 0.500, 0.500], [0.500, 0.500, 0.333], [0.500, 0.000, 0.167], [0.000, 0.000, 0.337], [0.000, 0.000, 0.663], [0.000, 0.000, 0.000]]
}



{
  "formula": "MnIr2Rh",
  "functional": "PBE",
  "state": "optimized geometry",
  "spacegroup": "R-3m, No. 166",
  "dft_energy_ev_per_atom": -8.58,
  "cell": [[-3.189, -7.791, -2.590], [-3.387, -8.130, 0.097], [-5.369, -6.867, -1.262]],
  "species": ["Mn", "Ir", "Ir", "Rh"],
  "fractional_positions": [[0.250, 0.250, 0.250], [0.504, 0.504, 0.504], [0.996, 0.996, 0.996], [0.750, 0.750, 0.750]]
}



{
  "formula": "MnIr6Rh2",
  "functional": "PBE",
  "state": "optimized geometry",
  "spacegroup": "C2/c, No. 15",
  "dft_energy_ev_per_atom": -8.37,
  "cell": [[9.164, 1.151, 4.894], [5.918, 5.828, 2.914], [3.899, 1.008, 7.826]],
  "species": ["Ir", "Ir", "Ir", "Ir", "Ir", "Ir", "Ir", "Ir", "Ir", "Ir", "Ir", "Ir", "Rh", "Rh", "Rh", "Rh", "Mn", "Mn"],
  "fractional_positions": [[0.261, 0.100, 0.581], [0.059, 0.272, 0.387], [0.128, 0.946, 0.050], [0.872, 0.054, 0.950], [0.372, 0.950, 0.054], [0.559, 0.387, 0.272], [0.761, 0.581, 0.100], [0.239, 0.419, 0.900], [0.739, 0.900, 0.419], [0.441, 0.613, 0.728], [0.941, 0.728, 0.613], [0.628, 0.050, 0.946], [0.807, 0.209, 0.447], [0.307, 0.447, 0.209], [0.693, 0.553, 0.791], [0.193, 0.791, 0.553], [0.250, 0.266, 0.734], [0.750, 0.734, 0.266]]
}



{
  "formula": "MnIr2Rh",
  "functional": "PBE",
  "state": "optimized geometry",
  "spacegroup": "Pmmm, No. 47",
  "dft_energy_ev_per_atom": -8.46,
  "cell": [[2.778, 0.000, 0.000], [0.000, 4.576, 0.000], [0.000, 0.000, 4.585]],
  "species": ["Ir", "Ir", "Rh", "Mn"],
  "fractional_positions": [[0.000, 0.000, 0.000], [0.500, 0.500, 0.000], [0.000, 0.500, 0.500], [0.500, 0.000, 0.500]]
}



{
  "formula": "MnIrRh",
  "functional": "PBE",
  "state": "optimized geometry",
  "relative_energy_mev_per_atom": 0,
  "spacegroup": "I4mm, No. 107",
  "cell": [[-1.438, 5.681, 0.532], [-2.491, 4.470, -2.904], [0.271, -5.569, 1.879]],
  "species": ["Mn", "Rh", "Ir"],
  "fractional_positions": [[0.335, 0.335, 0.000], [0.674, 0.674, 0.000], [0.991, 0.991, 0.000]]
}



{
  "formula": "Mn2IrRh2",
  "functional": "PBE",
  "state": "optimized geometry",
  "relative_energy_mev_per_atom": 45,
  "spacegroup": "P4/mbm, No. 127",
  "cell": [[-6.234, -3.038, -1.454], [2.156, -5.951, 3.187], [-0.970, 0.885, 2.310]],
  "species": ["Ir", "Ir", "Mn", "Mn", "Mn", "Mn", "Rh", "Rh", "Rh", "Rh"],
  "fractional_positions": [[0.500, 0.500, 0.000], [0.000, 0.000, 0.000], [0.170, 0.670, 0.500], [0.330, 0.170, 0.500], [0.830, 0.330, 0.500], [0.670, 0.830, 0.500], [0.872, 0.628, 0.000], [0.628, 0.128, 0.000], [0.128, 0.372, 0.000], [0.372, 0.872, 0.000]]
}



{
  "formula": "MnIrRh",
  "functional": "PBE",
  "state": "optimized geometry",
  "relative_energy_mev_per_atom": 0,
  "spacegroup": "Imm2, No. 44",
  "cell": [[-1.444, -4.151, -1.567], [-1.382, -3.320, 2.973], [-0.651, 4.362, -1.523]],
  "species": ["Mn", "Ir", "Rh"],
  "fractional_positions": [[0.336, 0.336, 0.000], [0.996, 0.996, 0.000], [0.668, 0.668, 0.000]]
}



{
  "formula": "MnIr2Rh2",
  "functional": "PBE",
  "state": "optimized geometry",
  "spacegroup": "Fddd, No. 70",
  "dft_energy_ev_per_atom": -7.67,
  "cell": [[4.752, -0.478, -1.183], [-2.894, 3.798, -1.183], [1.237, 2.212, 8.316]],
  "species": ["Ir", "Ir", "Ir", "Ir", "Rh", "Rh", "Rh", "Rh", "Mn", "Mn"],
  "fractional_positions": [[0.125, 0.375, 0.750], [0.625, 0.375, 0.750], [0.625, 0.875, 0.250], [0.625, 0.375, 0.250], [0.082, 0.918, 0.500], [0.418, 0.582, 0.500], [0.832, 0.168, 0.000], [0.168, 0.832, 0.000], [0.500, 0.500, 0.000], [0.750, 0.250, 0.500]]
}



{
  "formula": "Mn4IrRh",
  "functional": "PBE",
  "state": "optimized geometry",
  "spacegroup": "F-43m, No. 216",
  "dft_energy_ev_per_atom": -8.81,
  "cell": [[1.253, -0.789, 4.442], [-3.061, 0.747, 3.464], [-1.821, -3.626, 2.337]],
  "species": ["Mn", "Mn", "Mn", "Mn", "Rh", "Ir"],
  "fractional_positions": [[0.376, 0.873, 0.376], [0.376, 0.376, 0.873], [0.376, 0.376, 0.376], [0.873, 0.376, 0.376], [0.750, 0.750, 0.750], [0.000, 0.000, 0.000]]
}



{
  "formula": "MnIr2Rh8",
  "functional": "PBE",
  "state": "optimized geometry",
  "spacegroup": "Cmmm, No. 65",
  "dft_energy_ev_per_atom": -7.58,
  "cell": [[-3.710, -1.516, 1.208], [-2.337, 1.057, -5.845], [2.291, -5.943, -0.417]],
  "species": ["Rh", "Rh", "Rh", "Rh", "Rh", "Rh", "Rh", "Rh", "Ir", "Ir", "Mn"],
  "fractional_positions": [[0.500, 0.330, 0.330], [0.000, 0.299, 0.033], [0.500, 0.757, 0.243], [0.000, 0.701, 0.967], [0.000, 0.967, 0.701], [0.500, 0.243, 0.757], [0.000, 0.033, 0.299], [0.500, 0.670, 0.670], [0.000, 0.376, 0.624], [0.000, 0.624, 0.376], [0.500, 0.000, 0.000]]
}



{
  "formula": "MnIr6Rh8",
  "functional": "PBE",
  "state": "optimized geometry",
  "relative_energy_mev_per_atom": 4,
  "spacegroup": "P-1, No. 2",
  "cell": [[-5.309, -0.013, -0.590], [0.855, -5.378, -6.011], [-0.235, -0.887, 7.062]],
  "species": ["Rh", "Rh", "Rh", "Rh", "Rh", "Rh", "Rh", "Rh", "Ir", "Ir", "Ir", "Ir", "Ir", "Ir", "Mn"],
  "fractional_positions": [[0.653, 0.615, 0.710], [0.752, 0.058, 0.466], [0.347, 0.385, 0.290], [0.656, 0.697, 0.401], [0.594, 0.296, 0.920], [0.406, 0.704, 0.080], [0.248, 0.942, 0.534], [0.344, 0.303, 0.599], [0.854, 0.344, 0.285], [0.088, 0.010, 0.178], [0.912, 0.990, 0.822], [0.100, 0.332, 0.921], [0.146, 0.656, 0.715], [0.900, 0.668, 0.079], [0.500, 0.000, 0.000]]
}



Quick rundown of DOS(E_F), same order as above: 1.133, 1.206, 1.787, 1.026, 1.244, 1.168, 1.446, 1.115, 1.943, 1.221, 1.558, 1.231 states/eV per atom